No. 1
# Pr2SeS2 | Alexandria | GGA-PBE | optimized geometry
# ΔE_f (raw) = -1.947 eV/atom
# E = -31.04 eV per formula unit
# E above lowest polymorph = 25.9 meV/atom
# V = 25.4 Å³/atom
data_Pr2SeS2
_cell_length_a 4.0461
_cell_length_b 16.5506
_cell_length_c 7.5732
_cell_angle_alpha 90.00
_cell_angle_beta 90.00
_cell_angle_gamma 90.00
_symmetry_space_group_name_H-M 'C m c 21'
_symmetry_Int_Tables_number 36
loop_
_symmetry_equiv_pos_as_xyz
'x,y,z'
'-x,-y,z+1/2'
'-x,y,z'
'x,-y,z+1/2'
'x+1/2,y+1/2,z'
'-x+1/2,-y+1/2,z+1/2'
'-x+1/2,y+1/2,z'
'x+1/2,-y+1/2,z+1/2'
loop_
_atom_site_label
_atom_site_type_symbol
_atom_site_fract_x
_atom_site_fract_y
_atom_site_fract_z
_atom_site_occupancy
Pr1 Pr 0.0000 0.0432 0.0000 1
Pr2 Pr 0.0000 0.2917 0.1069 1
Se1 Se 0.0000 0.1345 0.3650 1
S1 S 0.0000 0.3229 0.4884 1
S2 S 0.0000 0.4631 0.2096 1

No. 2
# AcAs2Ru | Alexandria | GGA-PBE | optimized geometry
# DFT formation energy = -821 meV per atom
# E = -25.97 eV per formula unit
# E above lowest polymorph = 0.0 meV/atom
# V = 23.2 Å³/atom
data_AcAs2Ru
_cell_length_a 4.2043
_cell_length_b 4.2043
_cell_length_c 10.5141
_cell_angle_alpha 90.00
_cell_angle_beta 90.00
_cell_angle_gamma 90.00
_symmetry_space_group_name_H-M 'P 4/n m m'
_symmetry_Int_Tables_number 129
loop_
_symmetry_equiv_pos_as_xyz
'x,y,z'
'-x,-y,-z'
'-y+1/2,x,z'
'y+1/2,-x,-z'
'-x+1/2,-y+1/2,z'
'x+1/2,y+1/2,-z'
'y,-x+1/2,z'
'-y,x+1/2,-z'
'x+1/2,-y,-z'
'-x+1/2,y,z'
'-y,-x,-z'
'y,x,z'
'-x,y+1/2,-z'
'x,-y+1/2,z'
'y+1/2,x+1/2,-z'
'-y+1/2,-x+1/2,z'
loop_
_atom_site_label
_atom_site_type_symbol
_atom_site_fract_x
_atom_site_fract_y
_atom_site_fract_z
_atom_site_occupancy
Ac1 Ac 0.2500 0.2500 0.2349 1
As1 As 0.2500 0.2500 0.6228 1
As2 As 0.2500 0.7500 0.0000 1
Ru1 Ru 0.2500 0.7500 0.5000 1

No. 3
# Ho5MgAu6 | Alexandria | GGA-PBE | optimized geometry
# DFT formation energy = -829 meV per atom
# E = -54.09 eV per formula unit
# V = 22.3 Å³/atom
data_Ho5MgAu6
_cell_length_a 8.6942
_cell_length_b 15.0673
_cell_length_c 4.9985
_cell_angle_alpha 90.00
_cell_angle_beta 125.00
_cell_angle_gamma 90.00
_symmetry_space_group_name_H-M 'C 1 2/m 1'
_symmetry_Int_Tables_number 12
loop_
_symmetry_equiv_pos_as_xyz
'x,y,z'
'-x,-y,-z'
'-x,y,-z'
'x,-y,z'
'x+1/2,y+1/2,z'
'-x+1/2,-y+1/2,-z'
'-x+1/2,y+1/2,-z'
'x+1/2,-y+1/2,z'
loop_
_atom_site_label
_atom_site_type_symbol
_atom_site_fract_x
_atom_site_fract_y
_atom_site_fract_z
_atom_site_occupancy
Ho1 Ho 0.0000 0.0000 0.0000 1
Ho2 Ho 0.0000 0.1688 0.5000 1
Ho3 Ho 0.0000 0.3390 0.0000 1
Mg1 Mg 0.0000 0.5000 0.5000 1
Au1 Au 0.2440 0.0000 0.7433 1
Au2 Au 0.2485 0.1676 0.2486 1